1.
Entry from the Alexandria database: an optimized crystal structure of PmMg2Au2 (PBE).

a = 4.156 Å, b = 4.156 Å, c = 12.996 Å
α = 90.00°, β = 90.00°, γ = 90.00°
Space group I4/mmm (No. 139)
Asymmetric unit:
Pm 0.000 0.000 0.000 (multiplicity 2)
Mg 0.000 0.500 0.250 (multiplicity 4)
Au 0.000 0.000 0.392 (multiplicity 4)

Calculated values
excess energy over the best structure of this formula in the dataset	0	meV/atom
E_form	-632	meV per atom

---

2.
Entry from the Alexandria database: an optimized crystal structure of HoMgCoPd (PBE).

a = 6.554 Å, b = 6.554 Å, c = 6.554 Å
α = 90.00°, β = 90.00°, γ = 90.00°
Space group F-43m (No. 216)
Asymmetric unit:
Ho 0.000 0.000 0.000 (multiplicity 4)
Mg 0.000 0.000 0.500 (multiplicity 4)
Co 0.250 0.250 0.250 (multiplicity 4)
Pd 0.250 0.250 0.750 (multiplicity 4)

Calculated values
E_form	-376	meV per atom

---

3.
Entry from the Alexandria database: an optimized crystal structure of ZrSn2Hg (PBE).

a = 3.1847 Å, b = 3.1847 Å, c = 36.5058 Å
α = 90.00°, β = 90.00°, γ = 120.00°
Space group R-3m (No. 166, hexagonal axes)
Asymmetric unit:
Zr 0.0000 0.0000 0.0000 (multiplicity 3)
Sn 0.0000 0.0000 0.0829 (multiplicity 6)
Hg 0.0000 0.0000 0.5000 (multiplicity 3)

Calculated values
E_form	240	meV per atom

---

4.
Entry from the Alexandria database: an optimized crystal structure of Tb2ErTm6Sc (PBE).

a = 8.893 Å, b = 14.656 Å, c = 9.366 Å
α = 90.00°, β = 98.05°, γ = 90.00°
Space group C2/c (No. 15)
Asymmetric unit:
Tb 0.249 0.052 0.454 (multiplicity 8)
Er 0.000 0.479 0.250 (multiplicity 4)
Tm 0.061 0.311 0.943 (multiplicity 8)
Tm 0.102 0.106 0.117 (multiplicity 8)
Tm 0.210 0.279 0.311 (multiplicity 8)
Sc 0.000 0.089 0.750 (multiplicity 4)

Calculated values
E_form	126	meV per atom

---

5.
Entry from the Alexandria database: an optimized crystal structure of SrSmZn2Ge2 (PBE).

a = 4.2992 Å, b = 4.2992 Å, c = 8.6874 Å
α = 90.00°, β = 90.00°, γ = 120.00°
Space group P-3m1 (No. 164)
Asymmetric unit:
Sr 0.0000 0.0000 0.0000 (multiplicity 1)
Sm 0.0000 0.0000 0.5000 (multiplicity 1)
Zn 0.3333 0.6667 0.7188 (multiplicity 2)
Ge 0.3333 0.6667 0.2633 (multiplicity 2)

Calculated values
E_form	-593	meV per atom

---

6.
Entry from the Alexandria database: an optimized crystal structure of ErPuMg (PBE).

a = 5.4191 Å, b = 5.4191 Å, c = 3.1671 Å
α = 90.00°, β = 90.00°, γ = 120.00°
Space group P3m1 (No. 156)
Asymmetric unit:
Er 0.0000 0.0000 0.0000 (multiplicity 1)
Pu 0.6667 0.3333 0.4041 (multiplicity 1)
Mg 0.3333 0.6667 0.7138 (multiplicity 1)

Calculated values
excess energy over the best structure of this formula in the dataset	27	meV/atom
E_form	137	meV per atom

---

7.
Entry from the Alexandria database: an optimized crystal structure of Sm6Ge2TeAs3 (PBE).

a = 18.635 Å, b = 4.216 Å, c = 8.617 Å
α = 90.00°, β = 103.70°, γ = 90.00°
Space group C2/m (No. 12)
Asymmetric unit:
Sm 0.001 0.000 0.267 (multiplicity 4)
Sm 0.167 0.500 0.587 (multiplicity 4)
Sm 0.172 0.500 0.085 (multiplicity 4)
Ge 0.167 0.000 0.334 (multiplicity 4)
Te 0.000 0.500 0.000 (multiplicity 2)
As 0.000 0.500 0.500 (multiplicity 2)
As 0.164 0.000 0.834 (multiplicity 4)

Calculated values
ΔE_f (raw)	-1.265	eV/atom

---

8.
Entry from the Alexandria database: an optimized crystal structure of Ce3DyTh3 (PBE).

a = 8.7476 Å, b = 8.7476 Å, c = 19.7516 Å
α = 90.00°, β = 90.00°, γ = 120.00°
Space group R-3 (No. 148, hexagonal axes)
Asymmetric unit:
Ce 0.0295 0.7929 0.2870 (multiplicity 18)
Dy 0.0000 0.0000 0.4217 (multiplicity 6)
Th 0.0409 0.7954 0.1235 (multiplicity 18)

Calculated values
E_form	273	meV per atom

---

9.
Entry from the Alexandria database: an optimized crystal structure of Sm2ScGe3 (PBE).

a = 4.705 Å, b = 5.855 Å, c = 10.640 Å
α = 90.00°, β = 90.00°, γ = 90.00°
Space group Immm (No. 71)
Asymmetric unit:
Sm 0.000 0.000 0.177 (multiplicity 4)
Sc 0.000 0.000 0.500 (multiplicity 2)
Ge 0.000 0.500 0.133 (multiplicity 4)
Ge 0.000 0.500 0.500 (multiplicity 2)

Calculated values
E_form	-659	meV per atom

---

10.
Entry from the Alexandria database: an optimized crystal structure of Tb2Sm4Ho2Tm (PBE).

a = 15.178 Å, b = 5.054 Å, c = 7.985 Å
α = 90.00°, β = 108.50°, γ = 90.00°
Space group C2/m (No. 12)
Asymmetric unit:
Tb 0.111 0.000 0.169 (multiplicity 4)
Sm 0.055 0.500 0.831 (multiplicity 4)
Sm 0.222 0.000 0.832 (multiplicity 4)
Ho 0.167 0.500 0.500 (multiplicity 4)
Tm 0.000 0.000 0.500 (multiplicity 2)

Calculated values
E_form	19	meV per atom

---

11.
Entry from the Alexandria database: an optimized crystal structure of Ca2Y2Zn (PBE).

a = 7.658 Å, b = 7.658 Å, c = 5.853 Å
α = 90.00°, β = 90.00°, γ = 90.00°
Space group P4/mbm (No. 127)
Asymmetric unit:
Ca 0.166 0.334 0.000 (multiplicity 4)
Y 0.152 0.652 0.500 (multiplicity 4)
Zn 0.000 0.000 0.500 (multiplicity 2)

Calculated values
E_form	164	meV per atom

---

12.
Entry from the Alexandria database: an optimized crystal structure of NdSm5Tl6 (PBE).

a = 9.455 Å, b = 16.450 Å, c = 5.475 Å
α = 90.00°, β = 125.26°, γ = 90.00°
Space group C2/m (No. 12)
Asymmetric unit:
Nd 0.000 0.000 0.000 (multiplicity 2)
Sm 0.000 0.165 0.500 (multiplicity 4)
Sm 0.000 0.333 0.000 (multiplicity 4)
Sm 0.000 0.500 0.500 (multiplicity 2)
Tl 0.246 0.500 0.246 (multiplicity 4)
Tl 0.248 0.332 0.748 (multiplicity 8)

Calculated values
E_form	-380	meV per atom

---

What is the formula in the twelfth record? NdSm5Tl6